Record 1
{
  "formula": "MoH3Rh",
  "functional": "PBE",
  "state": "optimized geometry",
  "dos_ef_per_ev_fu": 2.155,
  "spacegroup": "No. 221",
  "e_tot_ev_per_cell": -27.1,
  "cell": [[3.4072, 0.0000, 0.0000], [0.0000, 3.4072, 0.0000], [0.0000, 0.0000, 3.4072]],
  "species": ["H", "H", "H", "Mo", "Rh"],
  "frac_coords": [[0.0000, 0.5000, 0.0000], [0.0000, 0.0000, 0.5000], [0.5000, 0.0000, 0.0000], [0.5000, 0.5000, 0.5000], [0.0000, 0.0000, 0.0000]]
}

Record 2
{
  "formula": "TaFeRe2",
  "functional": "PBE",
  "state": "optimized geometry",
  "dos_ef_per_ev_fu": 3.003,
  "e_form_kj_per_mol_fu": 3,
  "spacegroup": "No. 6",
  "e_tot_ev_per_cell": -45.2,
  "cell": [[4.3722, 0.0000, 0.0000], [0.0000, 2.7065, 0.0010], [0.0000, 0.9675, 5.1038]],
  "species": ["Fe", "Re", "Re", "Ta"],
  "frac_coords": [[0.5000, 0.7540, 0.7514], [0.0000, 0.9922, 0.0023], [0.5000, 0.2523, 0.2373], [0.0000, 0.5016, 0.5090]]
}

Record 3
{
  "formula": "RbTl10Bi3",
  "functional": "PBE",
  "state": "optimized geometry",
  "dos_ef_per_ev_fu": 10.834,
  "e_form_kj_per_mol_fu": 59,
  "spacegroup": "No. 225",
  "e_tot_ev_per_cell": -71.3,
  "cell": [[1.6396, -2.2118, 11.1964], [4.0850, -10.2609, 3.3114], [10.7035, -0.8617, 4.1990]],
  "species": ["Rb", "Rb", "Tl", "Tl", "Tl", "Tl", "Tl", "Tl", "Tl", "Tl", "Tl", "Tl", "Tl", "Tl", "Tl", "Tl", "Tl", "Tl", "Tl", "Tl", "Tl", "Tl", "Bi", "Bi", "Bi", "Bi", "Bi", "Bi"],
  "frac_coords": [[0.2500, 0.2500, 0.2500], [0.7500, 0.7500, 0.7500], [0.0000, 0.0000, 0.3553], [0.0000, 0.3553, 0.0000], [0.3553, 0.0000, 0.0000], [0.6447, 0.3553, 0.0000], [0.3796, 0.3796, 0.3796], [0.1389, 0.6204, 0.6204], [0.3796, 0.8611, 0.3796], [0.6447, 0.0000, 0.3553], [0.3796, 0.3796, 0.8611], [0.8611, 0.3796, 0.3796], [0.6204, 0.6204, 0.1389], [0.0000, 0.0000, 0.6447], [0.3553, 0.6447, 0.0000], [0.0000, 0.6447, 0.3553], [0.0000, 0.3553, 0.6447], [0.6447, 0.0000, 0.0000], [0.6204, 0.6204, 0.6204], [0.0000, 0.6447, 0.0000], [0.6204, 0.1389, 0.6204], [0.3553, 0.0000, 0.6447], [0.7276, 0.7276, 0.2724], [0.7276, 0.2724, 0.7276], [0.2724, 0.7276, 0.7276], [0.2724, 0.2724, 0.7276], [0.7276, 0.2724, 0.2724], [0.2724, 0.7276, 0.2724]]
}

Record 4
{
  "formula": "La6TbPr3",
  "functional": "PBE",
  "state": "optimized geometry",
  "dos_ef_per_ev_fu": 16.817,
  "e_form_kj_per_mol_fu": 227,
  "spacegroup": "No. 12",
  "e_tot_ev_per_cell": -46.2,
  "cell": [[6.4473, 0.0000, -2.6168], [-3.2515, 9.3794, -8.0112], [-0.0132, -3.1897, 9.2185]],
  "species": ["La", "La", "La", "La", "La", "La", "Tb", "Pr", "Pr", "Pr"],
  "frac_coords": [[0.3469, 0.3141, 0.1370], [0.2099, 0.6859, 0.8630], [0.6531, 0.6859, 0.8630], [0.7901, 0.3141, 0.1370], [0.1799, 0.8847, 0.3597], [0.8201, 0.1153, 0.6403], [0.5000, 0.5000, 0.0000], [0.7085, 0.2306, 0.4170], [0.2915, 0.7694, 0.5830], [0.0000, 0.0000, 0.0000]]
}

Record 5
{
  "formula": "La6In2RuN",
  "functional": "PBE",
  "state": "optimized geometry",
  "dos_ef_per_ev_fu": 8.062,
  "spacegroup": "No. 59",
  "e_tot_ev_per_cell": -115.5,
  "cell": [[-4.1691, -6.0075, 1.9009], [3.2429, -0.0963, 6.8082], [-7.6653, 6.5040, 3.7432]],
  "species": ["La", "La", "La", "La", "La", "La", "La", "La", "La", "La", "La", "La", "In", "In", "In", "In", "Ru", "Ru", "N", "N"],
  "frac_coords": [[0.5000, 0.2482, 0.2599], [0.5000, 0.2482, 0.7401], [0.0000, 0.7518, 0.2401], [0.0000, 0.7518, 0.7599], [0.2696, 0.9973, 0.5000], [0.7304, 0.9973, 0.5000], [0.2547, 0.4791, 0.5000], [0.7453, 0.4791, 0.5000], [0.7547, 0.5209, 0.0000], [0.2453, 0.5209, 0.0000], [0.2304, 0.0027, 0.0000], [0.7696, 0.0027, 0.0000], [0.5000, 0.7520, 0.2494], [0.0000, 0.2480, 0.7494], [0.5000, 0.7520, 0.7506], [0.0000, 0.2480, 0.2506], [0.0000, 0.7763, 0.5000], [0.5000, 0.2237, 0.0000], [0.5000, 0.2618, 0.5000], [0.0000, 0.7382, 0.0000]]
}

Record 6
{
  "formula": "Sc4TlAg",
  "functional": "PBE",
  "state": "optimized geometry",
  "dos_ef_per_ev_fu": 7.085,
  "e_form_kj_per_mol_fu": 35,
  "spacegroup": "No. 123",
  "e_tot_ev_per_cell": -30.2,
  "cell": [[4.7442, 0.0002, -0.0011], [0.0000, 4.7454, -0.0016], [0.0037, 0.0059, 6.9173]],
  "species": ["Sc", "Sc", "Sc", "Sc", "Tl", "Ag"],
  "frac_coords": [[0.5012, 0.9969, 0.2620], [0.5014, 0.9977, 0.7342], [0.0015, 0.4975, 0.7342], [0.0011, 0.4971, 0.2621], [0.5013, 0.4973, 0.9981], [0.0013, 0.9973, 0.4982]]
}

Record 7
{
  "formula": "HoMgSc2",
  "functional": "PBE",
  "state": "optimized geometry",
  "dos_ef_per_ev_fu": 6.567,
  "e_form_kj_per_mol_fu": 26,
  "spacegroup": "No. 160",
  "e_tot_ev_per_cell": -18.6,
  "cell": [[-0.7655, 2.3225, -2.2298], [-3.1690, 0.6082, -0.7345], [-1.7190, 8.4854, 6.9648]],
  "species": ["Ho", "Mg", "Sc", "Sc"],
  "frac_coords": [[0.6666, 0.6666, 0.0004], [0.5001, 0.5001, 0.4996], [0.0843, 0.0843, 0.7475], [0.2491, 0.2491, 0.2524]]
}

Record 8
{
  "formula": "Ho6Er16Tm7",
  "functional": "PBE",
  "state": "optimized geometry",
  "dos_ef_per_ev_fu": 53.822,
  "e_form_kj_per_mol_fu": 690,
  "spacegroup": "No. 225",
  "e_tot_ev_per_cell": -124.6,
  "cell": [[-8.9671, 4.4220, -4.4468], [-2.8941, -2.6118, -10.2245], [-8.8500, -6.1873, -1.7699]],
  "species": ["Ho", "Ho", "Ho", "Ho", "Ho", "Ho", "Er", "Er", "Er", "Er", "Er", "Er", "Er", "Er", "Er", "Er", "Er", "Er", "Er", "Er", "Er", "Er", "Tm", "Tm", "Tm", "Tm", "Tm", "Tm", "Tm"],
  "frac_coords": [[0.2817, 0.7183, 0.2817], [0.7183, 0.2817, 0.7183], [0.7183, 0.2817, 0.2817], [0.2817, 0.7183, 0.7183], [0.7183, 0.7183, 0.2817], [0.2817, 0.2817, 0.7183], [0.8784, 0.8784, 0.3649], [0.8784, 0.8784, 0.8784], [0.8784, 0.3649, 0.8784], [0.3649, 0.8784, 0.8784], [0.1216, 0.1216, 0.1216], [0.1216, 0.1216, 0.6351], [0.1216, 0.6351, 0.1216], [0.6351, 0.1216, 0.1216], [0.6525, 0.6525, 0.0424], [0.6525, 0.6525, 0.6525], [0.6525, 0.0424, 0.6525], [0.0424, 0.6525, 0.6525], [0.3475, 0.3475, 0.3475], [0.3475, 0.3475, 0.9576], [0.3475, 0.9576, 0.3475], [0.9576, 0.3475, 0.3475], [0.0000, 0.0000, 0.0000], [0.5000, 0.0000, 0.5000], [0.0000, 0.5000, 0.0000], [0.0000, 0.5000, 0.5000], [0.5000, 0.0000, 0.0000], [0.0000, 0.0000, 0.5000], [0.5000, 0.5000, 0.0000]]
}

Record 9
{
  "formula": "Tm6Ir2PbSe3",
  "functional": "PBE",
  "state": "optimized geometry",
  "dos_ef_per_ev_fu": 3.775,
  "spacegroup": "No. 12",
  "e_tot_ev_per_cell": -73.0,
  "cell": [[3.9821, 0.0000, 0.0000], [0.0000, 8.4945, -0.4508], [-1.9910, -3.2266, 8.8311]],
  "species": ["Tm", "Tm", "Tm", "Tm", "Tm", "Tm", "Ir", "Ir", "Pb", "Se", "Se", "Se"],
  "frac_coords": [[0.3234, 0.9091, 0.6468], [0.6831, 0.5417, 0.3662], [0.6766, 0.0909, 0.3532], [0.9970, 0.2701, 0.9940], [0.0030, 0.7299, 0.0060], [0.3169, 0.4583, 0.6338], [0.8479, 0.7085, 0.6958], [0.1521, 0.2915, 0.3042], [0.5000, 0.0000, 0.0000], [0.5000, 0.5000, 0.0000], [0.8354, 0.1828, 0.6708], [0.1646, 0.8172, 0.3292]]
}

Record 10
{
  "formula": "LiAg2Bi",
  "functional": "PBE",
  "state": "optimized geometry",
  "dos_ef_per_ev_fu": 1.384,
  "e_form_kj_per_mol_fu": -54,
  "spacegroup": "No. 123",
  "e_tot_ev_per_cell": -12.1,
  "cell": [[4.3960, 0.0000, 0.0000], [0.0000, 4.3021, 0.0000], [0.0000, 0.0000, 4.3021]],
  "species": ["Bi", "Ag", "Ag", "Li"],
  "frac_coords": [[0.5000, 0.5000, 0.5000], [0.0000, 0.0000, 0.5000], [0.0000, 0.5000, 0.0000], [0.5000, 0.0000, 0.0000]]
}

Record 11
{
  "formula": "Sr4Hg",
  "functional": "PBE",
  "state": "optimized geometry",
  "dos_ef_per_ev_fu": 6.596,
  "e_form_kj_per_mol_fu": 84,
  "spacegroup": "No. 139",
  "e_tot_ev_per_cell": -6.2,
  "cell": [[4.7388, 0.0000, 0.8159], [-0.1405, 4.7367, 0.8159], [0.5128, 0.5282, 11.1914]],
  "species": ["Sr", "Sr", "Sr", "Sr", "Hg"],
  "frac_coords": [[0.7500, 0.2500, 0.5000], [0.2500, 0.7500, 0.5000], [0.4129, 0.4129, 0.1741], [0.5871, 0.5871, 0.8259], [0.0000, 0.0000, 0.0000]]
}

Record 12
{
  "formula": "Cs3Th3ScTe8",
  "functional": "PBE",
  "state": "optimized geometry",
  "dos_ef_per_ev_fu": 8.990,
  "spacegroup": "No. 166",
  "e_tot_ev_per_cell": -74.4,
  "cell": [[-2.3192, 8.0194, 3.0930], [-6.1777, -5.3967, -3.4520], [3.4045, -2.7512, 9.6861]],
  "species": ["Cs", "Cs", "Cs", "Th", "Th", "Th", "Sc", "Te", "Te", "Te", "Te", "Te", "Te", "Te", "Te"],
  "frac_coords": [[0.0000, 0.0000, 0.0000], [0.0000, 0.5000, 0.0000], [0.5000, 0.5000, 0.0000], [0.5000, 0.0000, 0.5000], [0.5000, 0.5000, 0.5000], [0.0000, 0.5000, 0.5000], [0.0000, 0.0000, 0.5000], [0.2657, 0.5315, 0.2974], [0.7343, 0.4685, 0.7026], [0.7775, 0.5551, 0.3112], [0.2225, 0.4449, 0.6888], [0.7776, 0.0334, 0.3112], [0.2224, 0.9666, 0.6888], [0.2557, 0.0334, 0.3112], [0.7443, 0.9666, 0.6888]]
}